Density functional theory data (PBE) for NdEr4Sc6 after structural relaxation.

Summary:
ΔH_f (0 K): 94 meV/atom
E_tot: -119.9 eV/cell
Fermi-level density of states: 44.73 states/eV per cell

The structure in CIF format:
```
data_NdEr4Sc6
_cell_length_a 5.326
_cell_length_b 34.553
_cell_length_c 3.329
_cell_angle_alpha 90.00
_cell_angle_beta 90.00
_cell_angle_gamma 90.00
_space_group_name_H-M_alt 'C m m m'
_space_group_IT_number 65
_space_group_name_Hall '-C 2 2'
loop_
_atom_site_label
_atom_site_type_symbol
_atom_site_fract_x
_atom_site_fract_y
_atom_site_fract_z
_atom_site_occupancy
Nd1 Nd 0.000 0.000 0.000 1
Er1 Er 0.000 0.184 0.000 1
Er2 Er 0.000 0.440 0.000 1
Sc1 Sc 0.000 0.093 0.500 1
Sc2 Sc 0.000 0.271 0.500 1
Sc3 Sc 0.000 0.358 0.500 1
```